Crystalline CrCoIr2 at its relaxed geometry. Source: Alexandria, functional PBE.

ρ: 15.8 g/cm3
DOS at the Fermi energy: 5.3 states/eV/f.u.
crystal system: orthorhombic
DFT formation energy: -53 meV/atom

Cell and atoms, written as POSCAR:
```
CrCoIr2
1.0
-1.744 1.741 1.003
-1.544 0.388 -3.359
-3.313 -3.932 1.068
Ir Cr Co
2 1 1
Direct
0.500 0.500 0.271
0.000 0.000 0.987
0.500 0.500 0.739
0.000 0.000 0.502
```

---

Crystalline Li3Ag2Bi3 at its relaxed geometry. Source: Alexandria, functional PBE.

ρ: 7.5 g/cm3
DOS at the Fermi energy: 3.1 states/eV/f.u.
crystal system: orthorhombic
DFT formation energy: -175 meV/atom

Cell and atoms, written as POSCAR:
```
Li3Ag2Bi3
1.0
4.245 0.000 0.000
-2.123 5.330 0.000
0.000 0.000 16.894
Bi Ag Li
6 4 6
Direct
0.359 0.717 0.539
0.641 0.283 0.039
0.550 0.100 0.750
0.641 0.283 0.461
0.450 0.900 0.250
0.359 0.717 0.961
0.743 0.487 0.866
0.257 0.513 0.366
0.257 0.513 0.134
0.743 0.487 0.634
0.733 0.466 0.250
0.267 0.534 0.750
0.947 0.893 0.382
0.947 0.893 0.118
0.053 0.107 0.882
0.053 0.107 0.618
```

---

Crystalline SrNb2TcRu at its relaxed geometry. Source: Alexandria, functional PBE.

ρ: 6.4 g/cm3
DOS at the Fermi energy: 5.7 states/eV/f.u.
crystal system: tetragonal
DFT formation energy: 1484 meV/atom

Cell and atoms, written as POSCAR:
```
SrNb2TcRu
1.0
-0.409 -4.442 1.613
5.417 -0.528 -0.079
0.220 1.599 4.460
Nb Ru Sr Tc
2 1 1 1
Direct
0.500 0.000 0.000
0.000 0.000 0.500
0.500 0.500 0.500
0.000 0.500 0.000
0.000 0.000 0.000
```

---

Crystalline Rb2ZnI6F at its relaxed geometry. Source: Alexandria, functional PBE.

ρ: 4.2 g/cm3
DOS at the Fermi energy: 21.9 states/eV/f.u.
crystal system: tetragonal
final energy: -2.171 eV per atom

Cell and atoms, written as POSCAR:
```
Rb2ZnI6F
1.0
-3.387 -5.556 5.625
4.032 -6.478 -3.970
4.574 -5.346 4.051
I Zn Rb F
6 1 2 1
Direct
0.775 0.775 0.000
0.225 0.225 0.000
0.225 0.775 0.000
0.286 0.286 0.427
0.775 0.225 0.000
0.714 0.714 0.573
0.000 0.000 0.000
0.250 0.750 0.500
0.750 0.250 0.500
0.500 0.500 0.000
```

---

Copy entry 4 word for word.
Crystalline Rb2ZnI6F at its relaxed geometry. Source: Alexandria, functional PBE.

ρ: 4.2 g/cm3
DOS at the Fermi energy: 21.9 states/eV/f.u.
crystal system: tetragonal
final energy: -2.171 eV per atom

Cell and atoms, written as POSCAR:
```
Rb2ZnI6F
1.0
-3.387 -5.556 5.625
4.032 -6.478 -3.970
4.574 -5.346 4.051
I Zn Rb F
6 1 2 1
Direct
0.775 0.775 0.000
0.225 0.225 0.000
0.225 0.775 0.000
0.286 0.286 0.427
0.775 0.225 0.000
0.714 0.714 0.573
0.000 0.000 0.000
0.250 0.750 0.500
0.750 0.250 0.500
0.500 0.500 0.000
```

---

Question: Which of these has the highest ρ?
Answer: CrCoIr2

---

Question: ρ of number 3 (SrNb2TcRu)?
Answer: 6.4 g/cm3

---

Question: Which of these has the highest ρ?
Answer: CrCoIr2